# KNbCdTe3 (PBE, relaxed)
# E	-24.020	eV per formula unit
# symmetry	No. 63
# ΔE to the lowest computed polymorph	0.021	eV per atom
data_KNbCdTe3
_cell_length_a 8.270
_cell_length_b 8.270
_cell_length_c 11.191
_cell_angle_alpha 90.00
_cell_angle_beta 90.00
_cell_angle_gamma 150.42
_space_group_name_H-M_alt 'P 1'
_space_group_IT_number 1
_space_group_name_Hall 'P 1'
loop_
_atom_site_label
_atom_site_type_symbol
_atom_site_fract_x
_atom_site_fract_y
_atom_site_fract_z
Cd1 Cd 0.541 0.459 0.250
Te1 Te 0.076 0.924 0.750
Te2 Te 0.924 0.076 0.250
K1 K 0.239 0.761 0.250
Cd2 Cd 0.459 0.541 0.750
Te3 Te 0.626 0.374 0.467
Nb1 Nb 0.000 0.000 0.000
K2 K 0.761 0.239 0.750
Te4 Te 0.374 0.626 0.533
Nb2 Nb 0.000 0.000 0.500
Te5 Te 0.626 0.374 0.033
Te6 Te 0.374 0.626 0.967

---

# Y2ScW (PBE, relaxed)
# E	-30.350	eV per formula unit
# symmetry	No. 216
data_Y2ScW
_cell_length_a 5.086
_cell_length_b 5.086
_cell_length_c 5.086
_cell_angle_alpha 60.00
_cell_angle_beta 60.00
_cell_angle_gamma 60.00
_space_group_name_H-M_alt 'P 1'
_space_group_IT_number 1
_space_group_name_Hall 'P 1'
loop_
_atom_site_label
_atom_site_type_symbol
_atom_site_fract_x
_atom_site_fract_y
_atom_site_fract_z
Y1 Y 0.250 0.250 0.250
W1 W 0.500 0.500 0.500
Sc1 Sc 0.750 0.750 0.750
Y2 Y 0.000 0.000 0.000